(w)
A plane-wave DFT calculation with GGA-PBE was carried out for a relaxed CuAs2Ir crystal.

Cell lengths 2.9661, 2.9661, 7.7797 Å; angles 90.00, 90.00, 90.00 degrees
Closest atoms and distances in Å follow each position.
Space group P4mm (No. 99)
Inequivalent atoms, fractional coordinates:
Cu  0.0000  0.0000  0.0000  4 As 2.57, 4 Ir 2.78
As  0.0000  0.0000  0.4201  4 Ir 2.55
As  0.5000  0.5000  0.8097  4 Cu 2.57
Ir  0.5000  0.5000  0.2339  4 As 2.55, 4 Cu 2.78



(x)
A plane-wave DFT calculation with GGA-PBE was carried out for a relaxed CuAs2Ir crystal.

Cell lengths 2.9059, 4.3118, 11.2651 Å; angles 90.00, 90.00, 90.00 degrees
Closest atoms and distances in Å follow each position.
Space group Immm (No. 71)
Inequivalent atoms, fractional coordinates:
Cu  0.0000  0.0000  0.0000  4 Ir 2.60, 2 Cu 2.91
As  0.0000  0.5000  0.1829  2 Ir 2.52
Ir  0.0000  0.0000  0.5000  4 As 2.52, 4 Cu 2.60



Quick one: most stable of them? (w)



(w)
A plane-wave DFT calculation with GGA-PBE was carried out for a relaxed SrCrSe2 crystal.

Cell lengths 7.0976, 4.2216, 6.9549 Å; angles 90.00, 108.98, 90.00 degrees
Closest atoms and distances in Å follow each position.
Space group C2/m (No. 12)
Inequivalent atoms, fractional coordinates:
Sr  0.0000  0.0000  0.0000  6 Se 3.07-3.10
Cr  0.0000  0.5000  0.5000  6 Se 2.67-2.80
Se  0.2408  0.0000  0.7046  3 Cr 2.67-2.80



(x)
A plane-wave DFT calculation with GGA-PBE was carried out for a relaxed SrCrSe2 crystal.

Cell lengths 7.2709, 7.2709, 7.2709 Å; angles 90.00, 90.00, 90.00 degrees
Closest atoms and distances in Å follow each position.
Space group F-43m (No. 216)
Inequivalent atoms, fractional coordinates:
Sr  0.0000  0.0000  0.0000  4 Se 3.15, 4 Cr 3.15
Cr  0.2500  0.2500  0.7500  4 Sr 3.15, 4 Se 3.15
Se  0.0000  0.0000  0.5000  4 Cr 3.15, 4 Se 3.15
Se  0.2500  0.2500  0.2500  4 Se 3.15, 4 Sr 3.15



Quick one: most stable of them? (w)



(w)
A plane-wave DFT calculation with GGA-PBE was carried out for a relaxed BeCoTc2 crystal.

Cell lengths 2.8687, 4.1092, 8.0773 Å; angles 90.00, 90.00, 90.00 degrees
Closest atoms and distances in Å follow each position.
Space group Imm2 (No. 44)
Inequivalent atoms, fractional coordinates:
Be  0.0000  0.0000  0.0000  2 Co 2.23, 2 Tc 2.46
Co  0.0000  0.5000  0.7115  2 Be 2.23
Tc  0.0000  0.0000  0.4782  4 Be 2.51, 4 Co 2.59-2.79, 4 Tc 2.64-2.75
Tc  0.0000  0.5000  0.2528  2 Be 2.46, 4 Co 2.53, 4 Tc 2.64-2.75



(x)
A plane-wave DFT calculation with GGA-PBE was carried out for a relaxed BeCoTc2 crystal.

Cell lengths 2.6869, 2.6869, 6.5600 Å; angles 90.00, 90.00, 90.00 degrees
Closest atoms and distances in Å follow each position.
Space group P4/mmm (No. 123)
Inequivalent atoms, fractional coordinates:
Be  0.0000  0.0000  0.0000  8 Tc 2.44, 4 Be 2.69
Co  0.0000  0.0000  0.5000  8 Tc 2.59, 4 Co 2.69
Tc  0.5000  0.5000  0.2325  4 Be 2.44, 4 Co 2.59, 4 Tc 2.69



Quick one: most stable of them? (w)



(w)
A plane-wave DFT calculation with GGA-PBE was carried out for a relaxed B5C crystal.

Cell lengths 8.5922, 2.7737, 8.4755 Å; angles 90.00, 92.30, 90.00 degrees
Closest atoms and distances in Å follow each position.
Space group C2/m (No. 12)
Inequivalent atoms, fractional coordinates:
B  0.0057  0.0000  0.3981  2 C 1.57, 1 B 1.73
B  0.0483  0.5000  0.1226  1 C 1.66, 3 B 1.74-1.76
B  0.1050  0.0000  0.0107  4 B 1.74-1.81
B  0.1571  0.5000  0.7797  1 C 1.53
B  0.2485  0.0000  0.8713  4 B 1.74-1.76
C  0.0003  0.5000  0.3108  4 B 1.53-1.66



(x)
A plane-wave DFT calculation with GGA-PBE was carried out for a relaxed B5C crystal.

Cell lengths 4.1573, 11.1254, 3.9874 Å; angles 90.00, 90.00, 90.00 degrees
Closest atoms and distances in Å follow each position.
Space group C222 (No. 21)
Inequivalent atoms, fractional coordinates:
B  0.0000  0.0000  0.0000  4 B 1.71
B  0.0000  0.1253  0.5000  2 B 1.81
B  0.0000  0.5000  0.5000  4 B 1.71
B  0.2011  0.4215  0.8036  1 C 1.56, 2 B 1.71
B  0.2500  0.2500  0.1994  2 C 1.56
C  0.0000  0.3261  0.0000  4 B 1.56



Quick one: most stable of them? (w)



(w)
A plane-wave DFT calculation with GGA-PBE was carried out for a relaxed OsRhW2 crystal.

Cell lengths 2.7646, 2.7646, 7.9911 Å; angles 90.00, 90.00, 90.00 degrees
Closest atoms and distances in Å follow each position.
Space group P4mm (No. 99)
Inequivalent atoms, fractional coordinates:
Os  0.0000  0.0000  0.0000  4 W 2.73, 4 Os 2.76, 4 Rh 2.78
Rh  0.5000  0.5000  0.2466  4 W 2.76, 4 Rh 2.76, 4 Os 2.78
W  0.0000  0.0000  0.4906  4 Rh 2.76, 8 W 2.76-2.91
W  0.5000  0.5000  0.7610  4 Os 2.73, 8 W 2.76-2.91



(x)
A plane-wave DFT calculation with GGA-PBE was carried out for a relaxed OsRhW2 crystal.

Cell lengths 2.7891, 2.7891, 27.4159 Å; angles 90.00, 90.00, 120.00 degrees
Closest atoms and distances in Å follow each position.
Space group R3m (No. 160, hexagonal axes)
Inequivalent atoms, fractional coordinates:
Os  0.0000  0.0000  0.0000  3 W 2.69, 6 Os 2.79, 3 Rh 2.86
Rh  0.0000  0.0000  0.2470  3 W 2.68, 6 Rh 2.79, 3 Os 2.86
W  0.0000  0.0000  0.5022  3 Rh 2.68, 9 W 2.79-2.95
W  0.0000  0.0000  0.7452  3 Os 2.69, 9 W 2.79-2.95



Quick one: most stable of them? (w)



(w)
A plane-wave DFT calculation with GGA-PBE was carried out for a relaxed RbLiBAu2 crystal.

Cell lengths 4.5245, 4.5245, 4.9407 Å; angles 90.00, 90.00, 90.00 degrees
Closest atoms and distances in Å follow each position.
Space group P4/mmm (No. 123)
Inequivalent atoms, fractional coordinates:
Rb  0.0000  0.0000  0.0000  4 Li 3.20, 8 Au 3.35
Li  0.5000  0.5000  0.0000  2 B 2.47
B  0.5000  0.5000  0.5000  4 Au 2.26, 2 Li 2.47
Au  0.0000  0.5000  0.5000  2 B 2.26



(x)
A plane-wave DFT calculation with GGA-PBE was carried out for a relaxed RbLiBAu2 crystal.

Cell lengths 6.0411, 6.0411, 5.8346 Å; angles 90.00, 90.00, 90.00 degrees
Closest atoms and distances in Å follow each position.
Space group P4/mmm (No. 123)
Inequivalent atoms, fractional coordinates:
Rb  0.0000  0.0000  0.0000  2 Li 2.92, 4 Au 3.02
Li  0.0000  0.0000  0.5000  2 Rb 2.92
B  0.5000  0.5000  0.5000  8 Au 4.20, 4 Li 4.27
Au  0.0000  0.5000  0.0000  2 Rb 3.02



Quick one: most stable of them? (w)